1.
The following is a PBE calculation of a geometry-optimized DyHfZn structure, from Alexandria.

abc: 4.681 4.681 8.221
angles: 73.46 73.46 60.00
Site moments in Bohr magnetons follow the coordinates.
Fractional positions:
Zn (0.000, 0.000, 0.000)  -0.01
Dy (0.619, 0.619, 0.142)  -0.01
Dy (0.381, 0.381, 0.858)  -0.01
Zn (0.500, 0.500, 0.500)  0.00
Hf (0.800, 0.800, 0.599)  0.21
Hf (0.200, 0.200, 0.401)  0.21

Summary:
Energy relative to the lowest polymorph listed for this composition in eV/f.u.: 1.00
Spin magnetization in μB/f.u.: 0.28
Energy relative to the elements in eV per atom: 0.214

=====

2.
The following is a PBE calculation of a geometry-optimized YCrRh2 structure, from Alexandria.

abc: 5.160 5.160 4.535
angles: 72.81 72.81 37.57
Site moments in Bohr magnetons follow the coordinates.
Fractional positions:
Rh (0.993, 0.993, 0.056)  -0.01
Rh (0.744, 0.744, 0.728)  0.08
Y (0.498, 0.498, 0.538)  0.02
Cr (0.266, 0.266, 0.178)  3.17

Summary:
Energy relative to the lowest polymorph listed for this composition in eV/f.u.: 0.64
Spin magnetization in μB/f.u.: 3.59
Energy relative to the elements in eV per atom: -0.160

=====

3.
The following is a PBE calculation of a geometry-optimized Pm6Tl3Cd structure, from Alexandria.

abc: 5.450 9.585 11.969
angles: 107.58 90.00 90.00
Fractional positions:
Pm (0.750, 0.869, 0.844)
Tl (0.750, 0.630, 0.216)
Pm (0.750, 0.151, 0.693)
Cd (0.750, 0.042, 0.403)
Tl (0.250, 0.370, 0.784)
Tl (0.750, 0.465, 0.616)
Pm (0.250, 0.090, 0.880)
Pm (0.250, 0.248, 0.499)
Pm (0.250, 0.464, 0.091)
Pm (0.750, 0.910, 0.120)
Tl (0.750, 0.229, 0.026)
Pm (0.750, 0.536, 0.909)
Pm (0.250, 0.662, 0.680)
Tl (0.250, 0.535, 0.384)
Tl (0.250, 0.771, 0.974)
Pm (0.750, 0.338, 0.320)
Pm (0.250, 0.131, 0.156)
Pm (0.250, 0.849, 0.307)
Pm (0.750, 0.752, 0.501)
Cd (0.250, 0.958, 0.597)

Summary:
Spin magnetization in μB/f.u.: 0.00
Energy relative to the elements in eV per atom: -0.272

=====

4.
The following is a PBE calculation of a geometry-optimized La12Zn6Ni structure, from Alexandria.

abc: 8.340 8.340 8.340
angles: 93.70 93.70 93.70
Fractional positions:
Zn (0.742, 0.340, 0.149)
Zn (0.660, 0.851, 0.258)
Zn (0.851, 0.258, 0.660)
La (0.571, 0.457, 0.810)
La (0.810, 0.571, 0.457)
La (0.971, 0.082, 0.325)
La (0.675, 0.029, 0.918)
Zn (0.340, 0.149, 0.742)
La (0.543, 0.190, 0.429)
La (0.325, 0.971, 0.082)
Ni (0.000, 0.000, 0.000)
La (0.457, 0.810, 0.571)
La (0.429, 0.543, 0.190)
La (0.190, 0.429, 0.543)
La (0.918, 0.675, 0.029)
Zn (0.149, 0.742, 0.340)
Zn (0.258, 0.660, 0.851)
La (0.082, 0.325, 0.971)
La (0.029, 0.918, 0.675)

Summary:
Spin magnetization in μB/f.u.: 0.00
Energy relative to the elements in eV per atom: -0.123

=====

Question: Number 1 is which compound?
Answer: DyHfZn